w | 7
Lattice="6.2405 0.0000 0.0000 -1.0463 6.2972 0.0000 -1.0951 -3.4046 5.5467" Properties=species:S:1:pos:R:3 comment="Ho4Th2Sc | Alexandria via LeMat-Bulk | GGA-PBE | optimized geometry" dos_at_fermi_per_ev_fu=8.54 pbc="T T T"
Ho 0.3791 0.7854 1.5704
Ho 0.0254 -0.0673 4.9581
Ho 4.0737 2.9600 0.5886
Ho 3.7200 2.1073 3.9763
Th 0.1054 3.9990 2.6900
Th 3.9936 -1.1064 2.8567
Sc 3.1202 0.0000 0.0000


x | 14
Lattice="5.3358 0.0000 0.0000 0.0000 5.3358 0.0000 0.0000 0.0000 16.9292" Properties=species:S:1:pos:R:3 comment="Ho4Th2Sc | Alexandria via LeMat-Bulk | GGA-PBE | optimized geometry" dos_at_fermi_per_ev_fu=12.05 pbc="T T T"
Ho 0.0000 0.0000 3.0367
Ho 0.0000 0.0000 13.8924
Ho 0.0000 2.6679 0.0000
Ho 0.0000 2.6679 8.4646
Ho 2.6679 0.0000 0.0000
Ho 2.6679 0.0000 8.4646
Ho 2.6679 2.6679 5.4279
Ho 2.6679 2.6679 11.5013
Th 0.0000 0.0000 6.4643
Th 0.0000 0.0000 10.4649
Th 2.6679 2.6679 2.0003
Th 2.6679 2.6679 14.9289
Sc 0.0000 0.0000 0.0000
Sc 2.6679 2.6679 8.4646


It is x that is the least stable of them.


w | 12
Lattice="11.5571 -1.7098 0.0000 11.5571 1.7098 0.0000 -3.0988 0.0000 9.4086" Properties=species:S:1:pos:R:3 comment="Ho3Th2Sc | Alexandria via LeMat-Bulk | GGA-PBE | optimized geometry" dos_at_fermi_per_ev_fu=9.71 pbc="T T T"
Ho -0.0099 0.0000 4.1905
Ho 2.3114 0.0000 6.7731
Ho 9.2891 0.0000 2.0665
Ho 10.7263 0.0000 7.3421
Ho 17.7040 0.0000 2.6356
Ho 20.0253 0.0000 5.2181
Th 3.2411 0.0000 3.5198
Th 7.1560 0.0000 8.1731
Th 12.8594 0.0000 1.2355
Th 16.7743 0.0000 5.8889
Sc 4.2415 0.0000 0.3671
Sc 15.7739 0.0000 9.0415


x | 12
Lattice="9.8209 0.0000 0.0000 0.0000 3.5317 0.0000 -0.0901 0.0000 10.4823" Properties=species:S:1:pos:R:3 comment="Ho3Th2Sc | Alexandria via LeMat-Bulk | GGA-PBE | optimized geometry" dos_at_fermi_per_ev_fu=7.75 pbc="T T T"
Ho 1.1762 0.8829 2.6323
Ho 1.2671 0.8829 9.6091
Ho 3.6397 2.6488 4.3593
Ho 6.0911 0.8829 6.1230
Ho 8.4637 2.6488 0.8733
Ho 8.5546 2.6488 7.8500
Th 1.2069 0.8829 6.1324
Th 3.7580 2.6488 0.9102
Th 5.9728 0.8829 9.5721
Th 8.5240 2.6488 4.3499
Sc 3.6114 2.6488 7.8642
Sc 6.1194 0.8829 2.6181


It is w that is the least stable of them.


w | 9
Lattice="3.4905 0.0000 0.0000 -1.7453 3.0229 0.0000 0.0000 0.0000 26.3025" Properties=species:S:1:pos:R:3 comment="HoTh6Sc2 | Alexandria via LeMat-Bulk | GGA-PBE | optimized geometry" dos_at_fermi_per_ev_fu=16.21 pbc="T T T"
Ho 0.0000 0.0000 0.0000
Th 0.0000 0.0000 5.9125
Th 0.0000 0.0000 11.4727
Th 0.0000 0.0000 14.8298
Th 0.0000 0.0000 20.3900
Th 0.0000 2.0153 2.9630
Th 0.0000 2.0153 23.3395
Sc 0.0000 2.0153 8.7172
Sc 0.0000 2.0153 17.5853


x | 18
Lattice="-4.6560 5.5447 5.3893 4.6560 -5.5447 5.3893 4.6560 5.5447 -5.3893" Properties=species:S:1:pos:R:3 comment="HoTh6Sc2 | Alexandria via LeMat-Bulk | GGA-PBE | optimized geometry" dos_at_fermi_per_ev_fu=16.80 pbc="T T T"
Ho 0.0000 0.0000 2.6946
Ho 0.0000 0.0000 8.0839
Th 3.3310 -1.6960 1.7836
Th 2.7541 1.0249 0.0000
Th 5.9809 -1.6960 3.6056
Th 5.9809 1.6960 1.7836
Th 2.7541 -1.0249 5.3893
Th 3.3310 1.6960 3.6056
Th 1.3250 3.8487 1.7836
Th 1.9018 6.5696 0.0000
Th -1.3250 3.8487 3.6056
Th -1.3250 7.2407 1.7836
Th 1.9018 4.5198 5.3893
Th 1.3250 7.2407 3.6056
Sc 4.1262 -3.8857 5.3893
Sc 4.1262 3.8857 0.0000
Sc 0.5298 1.6590 5.3893
Sc 0.5298 9.4304 0.0000


It is x that is the least stable of them.


w | 12
Lattice="10.6755 0.0000 0.0000 -5.3377 9.2452 0.0000 0.0000 0.0000 3.2381" Properties=species:S:1:pos:R:3 comment="HoTh2Sc9 | Alexandria via LeMat-Bulk | GGA-PBE | optimized geometry" dos_at_fermi_per_ev_fu=26.74 pbc="T T T"
Ho 0.0000 0.0000 0.0000
Th 0.0000 6.1635 0.0000
Th 5.3377 3.0817 0.0000
Sc -2.6689 4.6226 0.0000
Sc 0.0000 3.1620 1.6191
Sc -2.5994 7.6642 1.6191
Sc 2.7384 1.5810 1.6191
Sc 5.3377 0.0000 0.0000
Sc 2.6689 4.6226 0.0000
Sc 2.5994 7.6642 1.6191
Sc 7.9371 1.5810 1.6191
Sc 5.3377 6.0832 1.6191


x | 12
Lattice="4.7068 0.0000 0.0000 0.0000 4.7068 0.0000 0.0000 0.0000 14.2151" Properties=species:S:1:pos:R:3 comment="HoTh2Sc9 | Alexandria via LeMat-Bulk | GGA-PBE | optimized geometry" dos_at_fermi_per_ev_fu=22.39 pbc="T T T"
Ho 0.0000 0.0000 0.0000
Th 0.0000 0.0000 4.7407
Th 0.0000 0.0000 9.4743
Sc 0.0000 2.3534 2.3822
Sc 0.0000 2.3534 7.1075
Sc 0.0000 2.3534 11.8328
Sc 2.3534 0.0000 2.3822
Sc 2.3534 0.0000 7.1075
Sc 2.3534 0.0000 11.8328
Sc 2.3534 2.3534 0.0000
Sc 2.3534 2.3534 4.7307
Sc 2.3534 2.3534 9.4844


It is w that is the least stable of them.


w | 20
Lattice="14.0106 0.0000 0.0000 0.0000 6.8886 0.0000 -0.8748 0.0000 5.9826" Properties=species:S:1:pos:R:3 comment="HoTh2Sc2 | Alexandria via LeMat-Bulk | GGA-PBE | optimized geometry" dos_at_fermi_per_ev_fu=7.48 pbc="T T T"
Ho 2.6818 0.8317 0.8650
Ho 2.2444 2.6126 3.8563
Ho 10.8914 4.2759 2.1263
Ho 10.4540 6.0569 5.1175
Th -0.6233 4.3098 4.5137
Th -0.1859 6.0230 1.5225
Th 4.8689 0.8707 5.2428
Th 5.3063 2.5735 2.2515
Th 7.8295 4.3150 3.7311
Th 8.2669 6.0178 0.7398
Th 13.3217 0.8655 4.4601
Th 13.7591 2.5787 1.4688
Sc 2.6811 4.3092 0.8793
Sc 2.2437 6.0237 3.8706
Sc 4.8182 4.3384 5.3217
Sc 5.2556 5.9945 2.3304
Sc 7.8802 0.8941 3.6522
Sc 8.3176 2.5502 0.6609
Sc 10.8921 0.8649 2.1120
Sc 10.4547 2.5794 5.1033


x | 10
Lattice="0.0000 5.3987 10.5202 2.8769 0.0000 10.5202 2.8769 5.3987 0.0000" Properties=species:S:1:pos:R:3 comment="HoTh2Sc2 | Alexandria via LeMat-Bulk | GGA-PBE | optimized geometry" dos_at_fermi_per_ev_fu=9.67 pbc="T T T"
Ho 0.7192 1.3497 2.6301
Ho 5.0347 9.4477 18.4104
Th 2.1577 2.3270 7.8902
Th 3.5962 5.0263 13.1503
Th 2.1577 5.7710 7.8902
Th 3.5962 8.4704 13.1503
Sc 0.0000 0.0000 0.0000
Sc 1.4385 2.6993 0.0000
Sc 1.4385 0.0000 5.2601
Sc 0.0000 2.6993 5.2601


It is x that is the least stable of them.